Entry 1:
The following is a DFT calculation (PBE-GGA) of crystalline HgPW2 at its relaxed geometry.

a b c (Å): 5.633 8.755 2.888
angles (deg): 90.00 110.53 90.00
Space group C2/m (No. 12)
Inequivalent atoms, fractional coordinates:
Hg 0.000 0.000 0.000 (multiplicity 2)
P 0.000 0.500 0.000 (multiplicity 2)
W 0.250 0.250 0.500 (multiplicity 4)

Properties
The value obtained for the offset from the most stable computed form is 547 meV/atom. The calculation puts the density of states at the Fermi level at 4.97 states/eV per cell. Its final energy is -56.4 eV for the cell shown.


Entry 2:
The following is a DFT calculation (PBE-GGA) of crystalline K2CrRe2 at its relaxed geometry.

a b c (Å): 3.579 3.579 16.320
angles (deg): 90.00 90.00 90.00
Space group I4/mmm (No. 139)
Inequivalent atoms, fractional coordinates:
K 0.000 0.500 0.250 (multiplicity 4)
Cr 0.000 0.000 0.000 (multiplicity 2)
Re 0.000 0.000 0.432 (multiplicity 4)

Properties
The value obtained for the offset from the most stable computed form is 772 meV/atom. The calculation puts the density of states at the Fermi level at 12.13 states/eV per cell. Its final energy is -54.2 eV for the cell shown.


Entry 3:
The following is a DFT calculation (PBE-GGA) of crystalline Nd5Er2TmTh at its relaxed geometry.

a b c (Å): 5.407 21.574 10.615
angles (deg): 90.00 90.00 90.00
Space group Cmcm (No. 63)
Inequivalent atoms, fractional coordinates:
Nd 0.000 0.000 0.000 (multiplicity 4)
Nd 0.000 0.126 0.250 (multiplicity 4)
Nd 0.000 0.221 0.557 (multiplicity 8)
Nd 0.000 0.499 0.750 (multiplicity 4)
Er 0.000 0.387 0.003 (multiplicity 8)
Tm 0.000 0.102 0.750 (multiplicity 4)
Th 0.000 0.288 0.250 (multiplicity 4)

Properties
The calculation puts the density of states at the Fermi level at 52.08 states/eV per cell. Its final energy is -174.3 eV for the cell shown.


Entry 4:
The following is a DFT calculation (PBE-GGA) of crystalline Sm2MgAg at its relaxed geometry.

a b c (Å): 3.806 3.806 7.398
angles (deg): 90.00 90.00 90.00
Space group P4/mmm (No. 123)
Inequivalent atoms, fractional coordinates:
Sm 0.000 0.000 0.243 (multiplicity 2)
Mg 0.500 0.500 0.500 (multiplicity 1)
Ag 0.500 0.500 0.000 (multiplicity 1)

Properties
The value obtained for the offset from the most stable computed form is 0 meV/atom. The calculation puts the density of states at the Fermi level at 3.37 states/eV per cell. Its final energy is -14.6 eV for the cell shown.


- The lowest final energy belongs to which entry?
  Nd5Er2TmTh


- The lowest final energy belongs to which entry?
  Nd5Er2TmTh


Please write out number 2 again, unchanged.
The following is a DFT calculation (PBE-GGA) of crystalline K2CrRe2 at its relaxed geometry.

a b c (Å): 3.579 3.579 16.320
angles (deg): 90.00 90.00 90.00
Space group I4/mmm (No. 139)
Inequivalent atoms, fractional coordinates:
K 0.000 0.500 0.250 (multiplicity 4)
Cr 0.000 0.000 0.000 (multiplicity 2)
Re 0.000 0.000 0.432 (multiplicity 4)

Properties
The value obtained for the offset from the most stable computed form is 772 meV/atom. The calculation puts the density of states at the Fermi level at 12.13 states/eV per cell. Its final energy is -54.2 eV for the cell shown.


- final energy of number 1 (HgPW2)?
  -56.4 eV for the cell shown